Material: ZrFeHO2
Method: DFT, PBE with a Hubbard U
State: optimized geometry

a b c (Å): 3.9780 3.9780 3.0145
angles (deg): 90.00 90.00 90.00
Last column: nearest neighbours and their distance in Å.
Positions (direct):
O 0.0000 0.5000 0.0000  2 H 1.99
O 0.5000 0.0000 0.0000  2 H 1.99
H 0.0000 0.0000 0.0000  2 Fe 1.51
Fe 0.0000 0.0000 0.5000  2 H 1.51
Zr 0.5000 0.5000 0.5000  8 O 2.50

Results
Space-group type: P4/mmm
Raw total energy: -6.144 eV per atom